(1)
# PuPa2Bi (PBE, optimized geometry)
# Formation energy from the elements: 0.035 eV/atom
# SG: P4/mmm (123)
# Magnetization: 6.39 μB per cell
# Relative energy among the computed polymorphs: 137 meV per atom
data_PuPa2Bi
_chemical_formula_sum 'Pu1 Pa2 Bi1'
_space_group_name_H-M_alt 'P 1'
_space_group_IT_number 1
_cell_length_a 3.934
_cell_length_b 3.934
_cell_length_c 6.667
_cell_angle_alpha 90.00
_cell_angle_beta 90.00
_cell_angle_gamma 90.00
loop_
_space_group_symop_operation_xyz
'x,y,z'
loop_
_atom_site_label
_atom_site_type_symbol
_atom_site_fract_x
_atom_site_fract_y
_atom_site_fract_z
Pu1 Pu 0.000 0.000 0.000
Pa1 Pa 0.500 0.500 0.226
Pa2 Pa 0.500 0.500 0.774
Bi1 Bi 0.000 0.000 0.500

(2)
# Pu5PaBi6 (PBE, optimized geometry)
# Formation energy from the elements: -0.257 eV/atom
# SG: Immm (71)
# Magnetization: 6.87 μB per cell
data_Pu5PaBi6
_chemical_formula_sum 'Pu5 Pa1 Bi6'
_space_group_name_H-M_alt 'P 1'
_space_group_IT_number 1
_cell_length_a 9.827
_cell_length_b 9.827
_cell_length_c 9.827
_cell_angle_alpha 145.52
_cell_angle_beta 139.49
_cell_angle_gamma 54.22
loop_
_space_group_symop_operation_xyz
'x,y,z'
loop_
_atom_site_label
_atom_site_type_symbol
_atom_site_fract_x
_atom_site_fract_y
_atom_site_fract_z
Pu1 Pu 0.000 0.000 0.000
Pu2 Pu 0.164 0.664 0.500
Pu3 Pu 0.332 0.332 0.000
Pu4 Pu 0.668 0.668 0.000
Pu5 Pu 0.836 0.336 0.500
Pa1 Pa 0.500 0.000 0.500
Bi1 Bi 0.086 0.834 0.252
Bi2 Bi 0.254 0.500 0.754
Bi3 Bi 0.418 0.166 0.252
Bi4 Bi 0.582 0.834 0.748
Bi5 Bi 0.746 0.500 0.246
Bi6 Bi 0.914 0.166 0.748

(3)
# PuPa2Bi (PBE, optimized geometry)
# Formation energy from the elements: -0.102 eV/atom
# SG: P4/mmm (123)
# Magnetization: 5.42 μB per cell
# Relative energy among the computed polymorphs: 0 meV per atom
data_PuPa2Bi
_chemical_formula_sum 'Pu1 Pa2 Bi1'
_space_group_name_H-M_alt 'P 1'
_space_group_IT_number 1
_cell_length_a 4.610
_cell_length_b 4.610
_cell_length_c 4.790
_cell_angle_alpha 90.00
_cell_angle_beta 90.00
_cell_angle_gamma 90.00
loop_
_space_group_symop_operation_xyz
'x,y,z'
loop_
_atom_site_label
_atom_site_type_symbol
_atom_site_fract_x
_atom_site_fract_y
_atom_site_fract_z
Pu1 Pu 0.000 0.000 0.000
Pa1 Pa 0.000 0.500 0.500
Pa2 Pa 0.500 0.000 0.500
Bi1 Bi 0.500 0.500 0.000

For reference, raw total energy by record: -0.681 -0.659 -0.691 Ry/atom.